DFT (PBE+U) results for crystalline K2NiOs3O12 at its relaxed geometry.

DOS at the Fermi energy = 0.43 states/eV per atom
VASP energy = -118.5 eV per formula unit

a b c (Å): 7.2856 7.2856 17.6377
angles (deg): 90.00 90.00 120.00
Closest atoms and distances in Å follow each position.
Space group R-3m (No. 166, hexagonal axes)
Asymmetric unit:
1 K 0.0000 0.0000 0.1111 [6 per cell]  3 O 3.01
2 Ni 0.0000 0.0000 0.5000 [3 per cell]  6 O 2.02
3 Os 0.0000 0.5000 0.0000 [9 per cell]  6 O 1.81-1.95
4 O 0.0729 0.5365 0.3547 [18 per cell]  2 Os 1.95
5 O 0.0759 0.5380 0.0989 [18 per cell]  1 Os 1.81, 1 Ni 2.02